# 1
This record from Alexandria via LeMat-Bulk describes an optimized crystal structure of Ac2Sn3Ir4. The functional is PBE.

Calculated formation energy ... -4.85 eV/f.u.
DOS(E_F) ... 15.8 states/eV per cell
Calculated total energy ... -6.72 eV per atom

Cell and atoms, written as CIF:
```
data_Ac2Sn3Ir4
_chemical_formula_sum 'Ac8 Sn12 Ir16'
_cell_length_a 6.190
_cell_length_b 16.771
_cell_length_c 7.573
_cell_angle_alpha 90.00
_cell_angle_beta 90.00
_cell_angle_gamma 90.00
_space_group_name_H-M_alt 'C m c e'
_space_group_IT_number 64
_space_group_name_Hall '-C 2ac 2'
loop_
_atom_site_label
_atom_site_type_symbol
_atom_site_fract_x
_atom_site_fract_y
_atom_site_fract_z
Ac1 Ac 0.000 0.102 0.087
Sn1 Sn 0.000 0.000 0.500
Sn2 Sn 0.250 0.234 0.750
Ir1 Ir 0.000 0.173 0.477
Ir2 Ir 0.250 0.073 0.750
```

---

# 2
This record from Alexandria via LeMat-Bulk describes an optimized crystal structure of Sr2PmMg. The functional is PBE.

Calculated formation energy ... 1.18 eV/f.u.
DOS(E_F) ... 16.6 states/eV per cell
Energy relative to the lowest polymorph listed for this composition ... 172 meV per atom
Calculated total energy ... -2.13 eV per atom

Cell and atoms, written as CIF:
```
data_Sr2PmMg
_chemical_formula_sum 'Sr6 Pm3 Mg3'
_cell_length_a 3.7811
_cell_length_b 3.7811
_cell_length_c 39.3145
_cell_angle_alpha 90.00
_cell_angle_beta 90.00
_cell_angle_gamma 120.00
_space_group_name_H-M_alt 'R -3 m'
_space_group_IT_number 166
_space_group_name_Hall '-R 3 2"'
loop_
_atom_site_label
_atom_site_type_symbol
_atom_site_fract_x
_atom_site_fract_y
_atom_site_fract_z
Sr1 Sr 0.0000 0.0000 0.0927
Pm1 Pm 0.0000 0.0000 0.0000
Mg1 Mg 0.0000 0.0000 0.5000
```

---

# 3
This record from Alexandria via LeMat-Bulk describes an optimized crystal structure of ReCl3. The functional is PBE.

DOS(E_F) ... 14.3 states/eV per cell
Formation energy (no corrections) ... 0.78 eV/atom
Energy relative to the lowest polymorph listed for this composition ... 1457 meV per atom
Calculated total energy ... -3.71 eV per atom

Cell and atoms, written as CIF:
```
data_ReCl3
_chemical_formula_sum 'Re4 Cl12'
_cell_length_a 5.196
_cell_length_b 5.196
_cell_length_c 14.504
_cell_angle_alpha 90.00
_cell_angle_beta 90.00
_cell_angle_gamma 90.00
_space_group_name_H-M_alt 'I 4/m m m'
_space_group_IT_number 139
_space_group_name_Hall '-I 4 2'
loop_
_atom_site_label
_atom_site_type_symbol
_atom_site_fract_x
_atom_site_fract_y
_atom_site_fract_z
Re1 Re 0.000 0.000 0.241
Cl1 Cl 0.000 0.000 0.390
Cl2 Cl 0.000 0.500 0.000
Cl3 Cl 0.000 0.500 0.250
```

---

# 4
This record from Alexandria via LeMat-Bulk describes an optimized crystal structure of Tb3CeHo2Te6. The functional is PBE.

DOS(E_F) ... 24.8 states/eV per cell
Formation energy (no corrections) ... -1.30 eV/atom
Calculated total energy ... -5.29 eV per atom

Cell and atoms, written as CIF:
```
data_Tb3CeHo2Te6
_chemical_formula_sum 'Tb6 Ce2 Ho4 Te12'
_cell_length_a 19.089
_cell_length_b 4.352
_cell_length_c 8.818
_cell_angle_alpha 90.00
_cell_angle_beta 103.21
_cell_angle_gamma 90.00
_space_group_name_H-M_alt 'C 1 2/m 1'
_space_group_IT_number 12
loop_
_space_group_symop_operation_xyz
'x,y,z'
'-x,-y,-z'
'-x,y,-z'
'x,-y,z'
'x+1/2,y+1/2,z'
'-x+1/2,-y+1/2,-z'
'-x+1/2,y+1/2,-z'
'x+1/2,-y+1/2,z'
loop_
_atom_site_label
_atom_site_type_symbol
_atom_site_fract_x
_atom_site_fract_y
_atom_site_fract_z
Tb1 Tb 0.000 0.000 0.000
Tb2 Tb 0.163 0.500 0.333
Ce1 Ce 0.000 0.000 0.500
Ho1 Ho 0.164 0.500 0.828
Te1 Te 0.001 0.500 0.757
Te2 Te 0.169 0.000 0.081
Te3 Te 0.171 0.000 0.587
```

---

# 5
This record from Alexandria via LeMat-Bulk describes an optimized crystal structure of Al2TcAs. The functional is PBE.

Calculated formation energy ... -0.34 eV/f.u.
DOS(E_F) ... 2.1 states/eV per cell
Calculated total energy ... -5.71 eV per atom

Cell and atoms, written as CIF:
```
data_Al2TcAs
_chemical_formula_sum 'Al2 Tc1 As1'
_cell_length_a 4.357
_cell_length_b 4.357
_cell_length_c 3.216
_cell_angle_alpha 90.00
_cell_angle_beta 90.00
_cell_angle_gamma 90.00
_space_group_name_H-M_alt 'P 4/m m m'
_space_group_IT_number 123
_space_group_name_Hall '-P 4 2'
loop_
_atom_site_label
_atom_site_type_symbol
_atom_site_fract_x
_atom_site_fract_y
_atom_site_fract_z
Al1 Al 0.000 0.500 0.000
Tc1 Tc 0.000 0.000 0.500
As1 As 0.500 0.500 0.500
```

---

# 6
This record from Alexandria via LeMat-Bulk describes an optimized crystal structure of ThMnS2. The functional is PBE.

DOS(E_F) ... 8.3 states/eV per cell
Formation energy (no corrections) ... -0.58 eV/atom
Calculated total energy ... -6.80 eV per atom

Cell and atoms, written as CIF:
```
data_ThMnS2
_chemical_formula_sum 'Th3 Mn3 S6'
_cell_length_a 3.8001
_cell_length_b 3.8001
_cell_length_c 23.8753
_cell_angle_alpha 90.00
_cell_angle_beta 90.00
_cell_angle_gamma 120.00
_space_group_name_H-M_alt 'R -3 m'
_space_group_IT_number 166
_space_group_name_Hall '-R 3 2"'
loop_
_atom_site_label
_atom_site_type_symbol
_atom_site_fract_x
_atom_site_fract_y
_atom_site_fract_z
Th1 Th 0.0000 0.0000 0.0000
Mn1 Mn 0.0000 0.0000 0.5000
S1 S 0.0000 0.0000 0.1111
```

---

# 7
This record from Alexandria via LeMat-Bulk describes an optimized crystal structure of Pu6Ge2Ir. The functional is PBE.

Calculated formation energy ... -1.60 eV/f.u.
DOS(E_F) ... 153.2 states/eV per cell
Calculated total energy ... -11.74 eV per atom

Cell and atoms, written as CIF:
```
data_Pu6Ge2Ir
_chemical_formula_sum 'Pu24 Ge8 Ir4'
_cell_length_a 8.382
_cell_length_b 8.518
_cell_length_c 11.919
_cell_angle_alpha 90.00
_cell_angle_beta 90.00
_cell_angle_gamma 90.00
_space_group_name_H-M_alt 'I m m m'
_space_group_IT_number 71
_space_group_name_Hall '-I 2 2'
loop_
_atom_site_label
_atom_site_type_symbol
_atom_site_fract_x
_atom_site_fract_y
_atom_site_fract_z
Pu1 Pu 0.000 0.234 0.152
Pu2 Pu 0.180 0.190 0.500
Pu3 Pu 0.189 0.500 0.278
Ge1 Ge 0.000 0.000 0.334
Ge2 Ge 0.168 0.000 0.000
Ir1 Ir 0.000 0.500 0.000
Ir2 Ir 0.000 0.500 0.500
```

---

# 8
This record from Alexandria via LeMat-Bulk describes an optimized crystal structure of Cs2SmAlO4. The functional is PBE.

DOS(E_F) ... 0.0 states/eV per cell
Formation energy (no corrections) ... -2.22 eV/atom
Calculated total energy ... -5.97 eV per atom

Cell and atoms, written as CIF:
```
data_Cs2SmAlO4
_chemical_formula_sum 'Cs16 Sm8 Al8 O32'
_cell_length_a 5.673
_cell_length_b 12.791
_cell_length_c 24.101
_cell_angle_alpha 90.00
_cell_angle_beta 90.00
_cell_angle_gamma 90.00
_space_group_name_H-M_alt 'F d d d'
_space_group_IT_number 70
loop_
_space_group_symop_operation_xyz
'x,y,z'
'-x,-y,-z'
'-x+1/4,-y+1/4,z'
'x+1/4,y+1/4,-z'
'x,-y+1/4,-z+1/4'
'-x,y+1/4,z+1/4'
'-x+1/4,y,-z+1/4'
'x+1/4,-y,z+1/4'
'x,y+1/2,z+1/2'
'-x,-y+1/2,-z+1/2'
'-x+1/4,-y+3/4,z+1/2'
'x+1/4,y+3/4,-z+1/2'
'x,-y+3/4,-z+3/4'
'-x,y+3/4,z+3/4'
'-x+1/4,y+1/2,-z+3/4'
'x+1/4,-y+1/2,z+3/4'
'x+1/2,y,z+1/2'
'-x+1/2,-y,-z+1/2'
'-x+3/4,-y+1/4,z+1/2'
'x+3/4,y+1/4,-z+1/2'
'x+1/2,-y+1/4,-z+3/4'
'-x+1/2,y+1/4,z+3/4'
'-x+3/4,y,-z+3/4'
'x+3/4,-y,z+3/4'
'x+1/2,y+1/2,z'
'-x+1/2,-y+1/2,-z'
'-x+3/4,-y+3/4,z'
'x+3/4,y+3/4,-z'
'x+1/2,-y+3/4,-z+1/4'
'-x+1/2,y+3/4,z+1/4'
'-x+3/4,y+1/2,-z+1/4'
'x+3/4,-y+1/2,z+1/4'
loop_
_atom_site_label
_atom_site_type_symbol
_atom_site_fract_x
_atom_site_fract_y
_atom_site_fract_z
Cs1 Cs 0.125 0.125 0.307
Sm1 Sm 0.125 0.125 0.125
Al1 Al 0.125 0.125 0.625
O1 O 0.076 0.292 0.837
```

---

# 9
This record from Alexandria via LeMat-Bulk describes an optimized crystal structure of Pu2Tl2Te5. The functional is PBE.

DOS(E_F) ... 79.4 states/eV per cell
Formation energy (no corrections) ... -0.65 eV/atom
Calculated total energy ... -6.10 eV per atom

Cell and atoms, written as CIF:
```
data_Pu2Tl2Te5
_chemical_formula_sum 'Pu8 Tl8 Te20'
_cell_length_a 17.073
_cell_length_b 8.375
_cell_length_c 8.385
_cell_angle_alpha 90.00
_cell_angle_beta 90.00
_cell_angle_gamma 90.00
_space_group_name_H-M_alt 'C m c e'
_space_group_IT_number 64
_space_group_name_Hall '-C 2ac 2'
loop_
_atom_site_label
_atom_site_type_symbol
_atom_site_fract_x
_atom_site_fract_y
_atom_site_fract_z
Pu1 Pu 0.000 0.155 0.155
Tl1 Tl 0.202 0.000 0.500
Te1 Te 0.000 0.000 0.500
Te2 Te 0.119 0.150 0.852
```

---

# 10
This record from Alexandria via LeMat-Bulk describes an optimized crystal structure of AcNd2Ru. The functional is PBE.

Calculated formation energy ... -0.19 eV/f.u.
DOS(E_F) ... 3.4 states/eV per cell
Energy relative to the lowest polymorph listed for this composition ... 129 meV per atom
Calculated total energy ... -5.78 eV per atom

Cell and atoms, written as CIF:
```
data_AcNd2Ru
_chemical_formula_sum 'Ac1 Nd2 Ru1'
_cell_length_a 3.605
_cell_length_b 3.605
_cell_length_c 9.608
_cell_angle_alpha 90.00
_cell_angle_beta 90.00
_cell_angle_gamma 90.00
_space_group_name_H-M_alt 'P 4/m m m'
_space_group_IT_number 123
_space_group_name_Hall '-P 4 2'
loop_
_atom_site_label
_atom_site_type_symbol
_atom_site_fract_x
_atom_site_fract_y
_atom_site_fract_z
Ac1 Ac 0.000 0.000 0.000
Nd1 Nd 0.500 0.500 0.325
Ru1 Ru 0.000 0.000 0.500
```

---

# 11
This record from Alexandria via LeMat-Bulk describes an optimized crystal structure of AcY6Er2Tm3. The functional is PBE.

Calculated formation energy ... 0.47 eV/f.u.
DOS(E_F) ... 35.6 states/eV per cell
Calculated total energy ... -5.41 eV per atom

Cell and atoms, written as CIF:
```
data_AcY6Er2Tm3
_chemical_formula_sum 'Ac2 Y12 Er4 Tm6'
_cell_length_a 6.196
_cell_length_b 10.723
_cell_length_c 11.849
_cell_angle_alpha 90.00
_cell_angle_beta 100.01
_cell_angle_gamma 90.00
_space_group_name_H-M_alt 'C 1 2/m 1'
_space_group_IT_number 12
loop_
_space_group_symop_operation_xyz
'x,y,z'
'-x,-y,-z'
'-x,y,-z'
'x,-y,z'
'x+1/2,y+1/2,z'
'-x+1/2,-y+1/2,-z'
'-x+1/2,y+1/2,-z'
'x+1/2,-y+1/2,z'
loop_
_atom_site_label
_atom_site_type_symbol
_atom_site_fract_x
_atom_site_fract_y
_atom_site_fract_z
Ac1 Ac 0.000 0.000 0.000
Y1 Y 0.245 0.332 0.745
Y2 Y 0.250 0.000 0.744
Er1 Er 0.000 0.333 0.000
Tm1 Tm 0.000 0.167 0.500
Tm2 Tm 0.000 0.500 0.500
```

---

# 12
This record from Alexandria via LeMat-Bulk describes an optimized crystal structure of Zr5NbRh4. The functional is PBE.

Calculated formation energy ... -6.19 eV/f.u.
DOS(E_F) ... 7.5 states/eV per cell
Calculated total energy ... -8.84 eV per atom

Cell and atoms, written as CIF:
```
data_Zr5NbRh4
_chemical_formula_sum 'Zr5 Nb1 Rh4'
_cell_length_a 3.354
_cell_length_b 3.354
_cell_length_c 16.384
_cell_angle_alpha 90.00
_cell_angle_beta 90.00
_cell_angle_gamma 90.00
_space_group_name_H-M_alt 'P 4/m m m'
_space_group_IT_number 123
_space_group_name_Hall '-P 4 2'
loop_
_atom_site_label
_atom_site_type_symbol
_atom_site_fract_x
_atom_site_fract_y
_atom_site_fract_z
Zr1 Zr 0.000 0.000 0.000
Zr2 Zr 0.000 0.000 0.196
Zr3 Zr 0.000 0.000 0.394
Nb1 Nb 0.500 0.500 0.500
Rh1 Rh 0.500 0.500 0.098
Rh2 Rh 0.500 0.500 0.289
```